(1)
Compound: Nd2GeO4
Source: OQMD via LeMat-Bulk
Functional: GGA-PBE
Structure: relaxed

```
14
Lattice="-4.622 4.212 -3.176 -3.834 1.504 -5.677 -3.841 -6.779 6.130" Properties=species:S:1:pos:R:3 pbc="T T T"
Ge -1.163 -0.282 -0.061
Ge -11.135 -0.781 -2.663
Nd -7.914 3.413 -6.189
Nd -7.008 0.481 -2.728
Nd -5.290 -1.544 0.005
Nd -4.384 -4.476 3.465
O -2.050 0.659 -1.359
O -1.511 -1.539 1.191
O -4.919 0.105 -1.664
O -8.108 1.781 -4.483
O -4.190 -2.844 1.760
O -7.379 -1.169 -1.059
O -10.787 0.476 -3.914
O -10.248 -1.722 -1.364
```

Output
Spin magnetization (μB per atom): 0.0004
DFT total energy (Ry/atom): -0.550
Symmetry: C2/m, No. 12

---

(2)
Compound: Nd3Ge13Os4
Source: OQMD via LeMat-Bulk
Functional: GGA-PBE
Structure: relaxed

```
40
Lattice="-6.942 3.227 5.035 -5.069 -7.268 -2.331 3.173 -4.552 7.292" Properties=species:S:1:pos:R:3 pbc="T T T"
Ge 0.000 0.000 0.000
Ge -2.789 -0.111 1.144
Ge -5.636 1.212 3.209
Ge -6.375 -5.254 -0.505
Ge -9.223 -3.930 1.560
Ge -1.031 -2.809 0.379
Ge -3.110 -5.790 -0.577
Ge -4.614 -1.891 3.188
Ge -6.096 -4.017 2.507
Ge -0.079 -0.871 2.887
Ge -4.991 1.413 6.449
Ge -2.836 -4.583 2.447
Ge -6.931 -2.679 5.417
Ge -1.909 -2.625 4.949
Ge -3.939 -1.681 6.422
Ge -4.419 -4.297 4.998
Ge -4.899 -6.912 3.574
Ge -6.929 -5.968 5.047
Ge -1.908 -5.914 4.579
Ge -6.003 -4.010 7.549
Ge 1.222 -2.737 5.878
Ge -3.690 -0.454 9.440
Ge -2.742 -4.576 7.490
Ge -4.225 -6.702 6.808
Ge 1.214 -6.030 5.538
Ge -0.865 -9.011 4.582
Nd -4.270 -2.828 0.093
Nd -7.741 -1.214 2.611
Nd -2.678 0.476 4.341
Nd 0.319 -4.093 3.063
Nd -2.215 -7.727 1.898
Nd -1.091 -1.800 7.987
Os -2.210 -2.148 2.499
Os -5.681 -0.535 5.017
Os -4.744 -5.783 1.334
Os -8.215 -4.169 3.851
Os -0.623 -4.424 6.145
Os -4.094 -2.811 8.663
Os -3.158 -8.058 4.980
Os -6.629 -6.445 7.497
```

Output
Spin magnetization (μB per atom): 0.0003
DFT total energy (Ry/atom): -0.463
Symmetry: Pm-3n, No. 223

---

(3)
Compound: NdGeOs
Source: OQMD via LeMat-Bulk
Functional: GGA-PBE
Structure: relaxed

```
3
Lattice="0.000 3.246 3.246 3.246 0.000 3.246 3.246 3.246 0.000" Properties=species:S:1:pos:R:3 pbc="T T T"
Ge 1.623 1.623 1.623
Nd 4.870 4.870 4.870
Os 0.000 0.000 0.000
```

Output
Spin magnetization (μB per atom): 0.0013
DFT total energy (Ry/atom): -0.499
Symmetry: F-43m, No. 216

---

(4)
Compound: NdGeOs
Source: OQMD via LeMat-Bulk
Functional: GGA-PBE
Structure: relaxed

```
3
Lattice="0.000 3.346 3.346 3.346 0.000 3.346 3.346 3.346 0.000" Properties=species:S:1:pos:R:3 pbc="T T T"
Ge 1.673 1.673 1.673
Nd 0.000 0.000 0.000
Os 5.019 5.019 5.019
```

Output
Spin magnetization (μB per atom): 0.0126
DFT total energy (Ry/atom): -0.436
Symmetry: F-43m, No. 216